{"formula": "KBa2Te", "functional": "GGA-PBE", "state": "relaxed", "lattice": [[5.9663, 0.0000, 0.0000], [0.0000, 5.9663, 0.0000], [0.0000, 0.0000, 5.0109]], "species": ["K", "Ba", "Ba", "Te"], "frac_coords": [[0.0000, 0.0000, 0.0000], [0.0000, 0.5000, 0.5000], [0.5000, 0.0000, 0.5000], [0.5000, 0.5000, 0.0000]], "dft_energy_ev_per_cell": -10.301, "formation_energy_uncorrected_ev_per_atom": -0.554, "sg": "P4/mmm (123)"}